Computed, not measured: a geometry-optimized BaHfCr2O8 structure at the PBE+U level of DFT.

Values from the calculation:
Its energy is -7.72 eV/atom. The space group is C2/m (12).

abc: 5.317 5.317 7.801
angles: 91.59 91.59 65.21
Fractional positions:
Ba (0.000, 0.000, 0.000)
Hf (0.000, 0.000, 0.500)
Cr (0.364, 0.364, 0.720)
Cr (0.636, 0.636, 0.280)
O (0.215, 0.726, 0.692)
O (0.227, 0.227, 0.564)
O (0.274, 0.785, 0.308)
O (0.311, 0.311, 0.923)
O (0.689, 0.689, 0.077)
O (0.726, 0.215, 0.692)
O (0.773, 0.773, 0.436)
O (0.785, 0.274, 0.308)